[1]
{
  "formula": "Y4Tm3Th",
  "functional": "GGA-PBE",
  "state": "relaxed",
  "e_form_ev_per_atom": 0.02,
  "n_ef_per_ev_atom": 1.395,
  "crystal_system": "monoclinic",
  "lattice": [[3.546, 0.000, 0.000], [0.000, 5.097, -3.382], [-1.773, -8.093, 19.260]],
  "species": ["Y", "Y", "Y", "Y", "Tm", "Tm", "Tm", "Th"],
  "fractional_positions": [[0.252, 0.259, 0.503], [0.748, 0.741, 0.497], [0.624, 0.374, 0.249], [0.376, 0.626, 0.751], [0.000, 0.500, 0.000], [0.123, 0.860, 0.246], [0.877, 0.140, 0.754], [0.500, 0.000, 0.000]]
}

***

[2]
{
  "formula": "LiTlPCl2",
  "functional": "GGA-PBE",
  "state": "relaxed",
  "n_ef_per_ev_atom": 0.126,
  "crystal_system": "tetragonal",
  "e_form_raw_kj_per_mol_fu": -154,
  "lattice": [[-0.676, -3.656, 3.307], [4.010, -2.349, -1.778], [2.963, 2.505, 3.375]],
  "species": ["P", "Tl", "Li", "Cl", "Cl"],
  "fractional_positions": [[0.000, 0.000, 0.500], [0.500, 0.500, 0.500], [0.000, 0.000, 0.000], [0.000, 0.500, 0.000], [0.500, 0.000, 0.000]]
}

***

Repeat the second record exactly.
{
  "formula": "LiTlPCl2",
  "functional": "GGA-PBE",
  "state": "relaxed",
  "n_ef_per_ev_atom": 0.126,
  "crystal_system": "tetragonal",
  "e_form_raw_kj_per_mol_fu": -154,
  "lattice": [[-0.676, -3.656, 3.307], [4.010, -2.349, -1.778], [2.963, 2.505, 3.375]],
  "species": ["P", "Tl", "Li", "Cl", "Cl"],
  "fractional_positions": [[0.000, 0.000, 0.500], [0.500, 0.500, 0.500], [0.000, 0.000, 0.000], [0.000, 0.500, 0.000], [0.500, 0.000, 0.000]]
}